# 1
! Y3HfBi, relaxed, DFT GGA-PBEsol; values from VASP
! ΔE_f: 502.8 meV per atom
&SYSTEM
  ibrav = 0, nat = 5, ntyp = 3
/
ATOMIC_SPECIES
Y 88.91 Y.upf
Hf 178.49 Hf.upf
Bi 208.98 Bi.upf
ATOMIC_POSITIONS crystal
Y 0.000 0.500 0.000
Y 0.000 0.000 0.500
Y 0.500 0.000 0.000
Hf 0.000 0.000 0.000
Bi 0.500 0.500 0.500
CELL_PARAMETERS angstrom
-0.604 -4.982 -2.043
4.954 -1.320 1.753
-2.109 -1.672 4.702


# 2
! Ti2Ni2Au, relaxed, DFT GGA-PBEsol; values from VASP
! ΔE_f: -488.4 meV per atom
&SYSTEM
  ibrav = 0, nat = 10, ntyp = 3
/
ATOMIC_SPECIES
Ni 58.69 Ni.upf
Au 196.97 Au.upf
Ti 47.87 Ti.upf
ATOMIC_POSITIONS crystal
Ni 0.000 0.374 0.874
Ni 0.000 0.874 0.626
Ni 0.000 0.626 0.126
Ni 0.000 0.126 0.374
Au 0.000 0.000 0.000
Au 0.000 0.500 0.500
Ti 0.500 0.170 0.670
Ti 0.500 0.670 0.830
Ti 0.500 0.830 0.330
Ti 0.500 0.330 0.170
CELL_PARAMETERS angstrom
3.015 0.000 0.000
0.000 6.735 0.000
0.000 0.000 6.735


# 3
! ZrMnBr4, relaxed, DFT GGA-PBEsol; values from VASP
! formation energy without anion corrections: 5.0 eV/f.u.
&SYSTEM
  ibrav = 0, nat = 6, ntyp = 3
/
ATOMIC_SPECIES
Br 79.90 Br.upf
Mn 54.94 Mn.upf
Zr 91.22 Zr.upf
ATOMIC_POSITIONS crystal
Br 0.375 0.375 0.375
Br 0.375 0.375 0.876
Br 0.876 0.375 0.375
Br 0.375 0.876 0.375
Mn 0.750 0.750 0.750
Zr 0.000 0.000 0.000
CELL_PARAMETERS angstrom
-2.187 -4.366 3.428
3.011 -5.116 0.597
2.634 -1.323 5.187


# 4
! BaScNb2, relaxed, DFT GGA-PBEsol; values from VASP
! ΔE_f: 1051.3 meV per atom
&SYSTEM
  ibrav = 0, nat = 4, ntyp = 3
/
ATOMIC_SPECIES
Sc 44.96 Sc.upf
Nb 92.91 Nb.upf
Ba 137.33 Ba.upf
ATOMIC_POSITIONS crystal
Sc 0.000 0.000 0.000
Nb 0.250 0.250 0.250
Nb 0.750 0.750 0.750
Ba 0.500 0.500 0.500
CELL_PARAMETERS angstrom
-3.505 -2.309 -2.739
0.871 -1.038 -4.826
0.683 -4.746 -1.459


# 5
! Be3Te, relaxed, DFT GGA-PBEsol; values from VASP
! formation energy without anion corrections: 3.7 eV/f.u.
&SYSTEM
  ibrav = 0, nat = 4, ntyp = 2
/
ATOMIC_SPECIES
Be 9.01 Be.upf
Te 127.60 Te.upf
ATOMIC_POSITIONS crystal
Be 0.250 0.250 0.250
Be 0.500 0.500 0.500
Be 0.750 0.750 0.750
Te 0.000 0.000 0.000
CELL_PARAMETERS angstrom
4.271 0.000 0.000
2.136 3.699 0.000
2.136 1.233 3.488


# 6
! MnFeAs, relaxed, DFT GGA-PBEsol; values from VASP
! ΔE_f: -198.1 meV per atom
&SYSTEM
  ibrav = 0, nat = 9, ntyp = 3
/
ATOMIC_SPECIES
As 74.92 As.upf
Fe 55.84 Fe.upf
Mn 54.94 Mn.upf
ATOMIC_POSITIONS crystal
As 0.000 0.333 0.667
As 0.000 0.667 0.333
As 0.500 0.000 0.000
Fe 0.000 0.000 0.745
Fe 0.000 0.745 0.000
Fe 0.000 0.255 0.255
Mn 0.500 0.000 0.405
Mn 0.500 0.405 0.000
Mn 0.500 0.595 0.595
CELL_PARAMETERS angstrom
-1.085 2.525 -1.978
3.390 -2.197 -4.665
-5.819 -1.910 0.752


# 7
! Y3TcSn, relaxed, DFT GGA-PBEsol; values from VASP
! ΔE_f: 1053.9 meV per atom
&SYSTEM
  ibrav = 0, nat = 5, ntyp = 3
/
ATOMIC_SPECIES
Y 88.91 Y.upf
Sn 118.71 Sn.upf
Tc 98.00 Tc.upf
ATOMIC_POSITIONS crystal
Y 0.000 0.500 0.000
Y 0.000 0.000 0.500
Y 0.500 0.000 0.000
Sn 0.000 0.000 0.000
Tc 0.500 0.500 0.500
CELL_PARAMETERS angstrom
5.548 0.000 0.000
0.000 5.548 0.000
0.000 0.000 5.548


# 8
! BaZnP2, relaxed, DFT GGA-PBEsol; values from VASP
! ΔE_f: -396.2 meV per atom
&SYSTEM
  ibrav = 0, nat = 4, ntyp = 3
/
ATOMIC_SPECIES
Ba 137.33 Ba.upf
P 30.97 P.upf
Zn 65.41 Zn.upf
ATOMIC_POSITIONS crystal
Ba 0.500 0.000 0.000
P 0.338 0.662 0.662
P 0.662 0.338 0.338
Zn 0.000 0.500 0.500
CELL_PARAMETERS angstrom
4.449 0.000 0.000
2.225 4.645 0.017
2.225 0.330 4.633


| no. | uncorrected energy (eV for the cell shown) |
| --- | --- |
| 1 | -32.74 |
| 2 | -70.65 |
| 3 | -21.30 |
| 4 | -26.19 |
| 5 | -11.82 |
| 6 | -73.28 |
| 7 | -30.72 |
| 8 | -16.90 |